Entry 1:
# PBE-GGA RbPmSeI, optimized geometry
# - Space group: Cm, No. 8
# - E_tot: -4.060 eV/atom
# - Fermi-level density of states: 2.54 states/eV per cell
data_RbPmSeI
_cell_length_a 4.343
_cell_length_b 4.343
_cell_length_c 9.067
_cell_angle_alpha 103.81
_cell_angle_beta 103.81
_cell_angle_gamma 60.07
_space_group_name_H-M_alt 'P 1'
_space_group_IT_number 1
loop_
_space_group_symop_operation_xyz
'x,y,z'
loop_
_atom_site_label
_atom_site_type_symbol
_atom_site_fract_x
_atom_site_fract_y
_atom_site_fract_z
Rb1 Rb 0.000 0.000 0.000
Pm1 Pm 0.190 0.190 0.572
Se1 Se 0.584 0.584 0.750
I1 I 0.776 0.776 0.329


Entry 2:
# PBE-GGA LiPa4Se6, optimized geometry
# - Space group: R-3c, No. 167
# - E_tot: -6.710 eV/atom
# - Fermi-level density of states: 38.03 states/eV per cell
data_LiPa4Se6
_cell_length_a 7.930
_cell_length_b 7.930
_cell_length_c 7.930
_cell_angle_alpha 90.88
_cell_angle_beta 90.88
_cell_angle_gamma 90.88
_space_group_name_H-M_alt 'P 1'
_space_group_IT_number 1
loop_
_space_group_symop_operation_xyz
'x,y,z'
loop_
_atom_site_label
_atom_site_type_symbol
_atom_site_fract_x
_atom_site_fract_y
_atom_site_fract_z
Li1 Li 0.000 0.000 0.000
Li2 Li 0.500 0.500 0.500
Pa1 Pa 0.142 0.750 0.358
Pa2 Pa 0.250 0.250 0.250
Pa3 Pa 0.250 0.642 0.858
Pa4 Pa 0.358 0.142 0.750
Pa5 Pa 0.642 0.858 0.250
Pa6 Pa 0.750 0.358 0.142
Pa7 Pa 0.750 0.750 0.750
Pa8 Pa 0.858 0.250 0.642
Se1 Se 0.060 0.923 0.686
Se2 Se 0.077 0.314 0.940
Se3 Se 0.186 0.423 0.560
Se4 Se 0.314 0.940 0.077
Se5 Se 0.423 0.560 0.186
Se6 Se 0.440 0.814 0.577
Se7 Se 0.560 0.186 0.423
Se8 Se 0.577 0.440 0.814
Se9 Se 0.686 0.060 0.923
Se10 Se 0.814 0.577 0.440
Se11 Se 0.923 0.686 0.060
Se12 Se 0.940 0.077 0.314